# PBE-GGA NbPdPb2O6, optimized geometry
# * volume: 13.64 Å³/atom
# * energy relative to the elements, uncorrected: -1327 kJ/mol of formula units
# * DFT total energy: -132.360 eV for the cell shown
data_NbPdPb2O6
_symmetry_space_group_name_H-M 'P 1 21/c 1'
_symmetry_Int_Tables_number 14
_symmetry_space_group_name_Hall '-P 2ybc'
_cell_length_a 5.6748
_cell_length_b 5.6947
_cell_length_c 10.1423
_cell_angle_alpha 90.00
_cell_angle_beta 123.66
_cell_angle_gamma 90.00
loop_
_atom_site_label
_atom_site_type_symbol
_atom_site_fract_x
_atom_site_fract_y
_atom_site_fract_z
Nb1 Nb 0.0000 0.0000 0.0000
Pd1 Pd 0.5000 0.0000 0.5000
Pb1 Pb 0.2500 0.0269 0.7508
O1 O 0.1786 0.0131 0.2370
O2 O 0.2310 0.7120 0.0277
O3 O 0.3131 0.2051 0.0255

---

# PBE-GGA GaTe2Pd7, optimized geometry
# * volume: 18.12 Å³/atom
# * energy relative to the elements, uncorrected: -342 kJ/mol of formula units
# * DFT total energy: -98.418 eV for the cell shown
data_GaTe2Pd7
_symmetry_space_group_name_H-M 'I 4/m m m'
_symmetry_Int_Tables_number 139
_symmetry_space_group_name_Hall '-I 4 2'
_cell_length_a 4.0355
_cell_length_b 4.0355
_cell_length_c 22.2532
_cell_angle_alpha 90.00
_cell_angle_beta 90.00
_cell_angle_gamma 90.00
loop_
_atom_site_label
_atom_site_type_symbol
_atom_site_fract_x
_atom_site_fract_y
_atom_site_fract_z
Ga1 Ga 0.0000 0.0000 0.0000
Te1 Te 0.0000 0.0000 0.3344
Pd1 Pd 0.0000 0.0000 0.5000
Pd2 Pd 0.0000 0.5000 0.0846
Pd3 Pd 0.0000 0.5000 0.2500

---

# PBE-GGA Mn2Cu2Cl7, optimized geometry
# * volume: 26.70 Å³/atom
# * energy relative to the elements, uncorrected: -831 kJ/mol of formula units
# * DFT total energy: -192.279 eV for the cell shown
data_Mn2Cu2Cl7
_symmetry_space_group_name_H-M 'C 1 2/c 1'
_symmetry_Int_Tables_number 15
_symmetry_space_group_name_Hall '-C 2yc'
_cell_length_a 9.5953
_cell_length_b 10.5269
_cell_length_c 12.5688
_cell_angle_alpha 90.00
_cell_angle_beta 112.29
_cell_angle_gamma 90.00
loop_
_atom_site_label
_atom_site_type_symbol
_atom_site_fract_x
_atom_site_fract_y
_atom_site_fract_z
Mn1 Mn 0.1924 0.0517 0.2004
Cu1 Cu 0.0461 0.3816 0.4361
Cl1 Cl 0.0000 0.0379 0.7500
Cl2 Cl 0.0830 0.4206 0.6364
Cl3 Cl 0.1512 0.2490 0.1134
Cl4 Cl 0.2286 0.0990 0.5756

---

# PBE-GGA SmHo4Se6, optimized geometry
# * volume: 25.13 Å³/atom
# * energy relative to the elements, uncorrected: -1929 kJ/mol of formula units
# * DFT total energy: -255.726 eV for the cell shown
data_SmHo4Se6
_symmetry_space_group_name_H-M 'C m c m'
_symmetry_Int_Tables_number 63
_symmetry_space_group_name_Hall '-C 2c 2'
_cell_length_a 4.0015
_cell_length_b 13.3383
_cell_length_c 20.7189
_cell_angle_alpha 90.00
_cell_angle_beta 90.00
_cell_angle_gamma 90.00
loop_
_atom_site_label
_atom_site_type_symbol
_atom_site_fract_x
_atom_site_fract_y
_atom_site_fract_z
Sm1 Sm 0.0000 0.1533 0.2500
Ho1 Ho 0.0000 0.0901 0.6262
Ho2 Ho 0.0000 0.3597 0.5380
Se1 Se 0.0000 0.0000 0.0000
Se2 Se 0.0000 0.1853 0.7500
Se3 Se 0.0000 0.2682 0.0904
Se4 Se 0.0000 0.4493 0.6650